Record 1
A relaxed structure of Hf2Si2Sb, computed with GGA-PBE.

Cell: 7.442 7.442 3.650 Å, 90.00 90.00 90.00°
Fractional coordinates of all 10 atoms:
Hf: 0.168 0.332 0.000
Hf: 0.332 0.832 0.000
Hf: 0.668 0.168 0.000
Hf: 0.832 0.668 0.000
Si: 0.118 0.618 0.500
Si: 0.382 0.118 0.500
Si: 0.618 0.882 0.500
Si: 0.882 0.382 0.500
Sb: 0.000 0.000 0.000
Sb: 0.500 0.500 0.000

Results
- Excess energy over the best structure of this formula in the dataset: 26 meV/atom

***

Record 2
A relaxed structure of Hf4SiSb, computed with GGA-PBE.

Cell: 7.293 7.293 5.464 Å, 100.65 100.65 115.44°
Fractional coordinates of all 12 atoms:
Hf: 0.089 0.719 0.945
Hf: 0.198 0.385 0.642
Hf: 0.281 0.911 0.555
Hf: 0.385 0.198 0.142
Hf: 0.615 0.802 0.858
Hf: 0.719 0.089 0.445
Hf: 0.802 0.615 0.358
Hf: 0.911 0.281 0.055
Si: 0.003 0.997 0.250
Si: 0.997 0.003 0.750
Sb: 0.388 0.612 0.250
Sb: 0.612 0.388 0.750

Results
- Total DFT energy (no corrections): -0.642 Ry per atom

***

Record 3
A relaxed structure of Hf12SiSb6, computed with GGA-PBE.

Cell: 7.811 7.811 7.811 Å, 99.29 99.29 99.29°
Fractional coordinates of all 19 atoms:
Hf: 0.028 0.333 0.078
Hf: 0.078 0.028 0.333
Hf: 0.208 0.414 0.518
Hf: 0.333 0.078 0.028
Hf: 0.414 0.518 0.208
Hf: 0.482 0.792 0.586
Hf: 0.518 0.208 0.414
Hf: 0.586 0.482 0.792
Hf: 0.667 0.922 0.972
Hf: 0.792 0.586 0.482
Hf: 0.922 0.972 0.667
Hf: 0.972 0.667 0.922
Si: 0.000 0.000 0.000
Sb: 0.111 0.673 0.319
Sb: 0.319 0.111 0.673
Sb: 0.327 0.681 0.889
Sb: 0.673 0.319 0.111
Sb: 0.681 0.889 0.327
Sb: 0.889 0.327 0.681

Results
- Total DFT energy (no corrections): -0.591 Ry per atom

***

Record 4
A relaxed structure of Hf6SiSb2, computed with GGA-PBE.

Cell: 6.268 6.268 12.037 Å, 90.00 90.00 90.00°
Fractional coordinates of all 18 atoms:
Hf: 0.196 0.196 0.147
Hf: 0.196 0.196 0.853
Hf: 0.218 0.218 0.500
Hf: 0.282 0.718 0.000
Hf: 0.304 0.696 0.353
Hf: 0.304 0.696 0.647
Hf: 0.696 0.304 0.353
Hf: 0.696 0.304 0.647
Hf: 0.718 0.282 0.000
Hf: 0.782 0.782 0.500
Hf: 0.804 0.804 0.147
Hf: 0.804 0.804 0.853
Si: 0.000 0.000 0.000
Si: 0.500 0.500 0.500
Sb: 0.000 0.000 0.329
Sb: 0.000 0.000 0.671
Sb: 0.500 0.500 0.171
Sb: 0.500 0.500 0.829

Results
- Total DFT energy (no corrections): -0.578 Ry per atom

***

Record 5
A relaxed structure of Hf2SiSb2, computed with GGA-PBE.

Cell: 7.396 7.396 4.052 Å, 90.00 90.00 90.00°
Fractional coordinates of all 10 atoms:
Hf: 0.154 0.346 0.000
Hf: 0.346 0.846 0.000
Hf: 0.654 0.154 0.000
Hf: 0.846 0.654 0.000
Si: 0.000 0.000 0.000
Si: 0.500 0.500 0.000
Sb: 0.150 0.650 0.500
Sb: 0.350 0.150 0.500
Sb: 0.650 0.850 0.500
Sb: 0.850 0.350 0.500

Results
- Total DFT energy (no corrections): -0.513 Ry per atom

***

Record 6
A relaxed structure of Hf3SiSb, computed with GGA-PBE.

Cell: 7.457 7.457 7.681 Å, 92.94 92.94 28.79°
Fractional coordinates of all 10 atoms:
Hf: 0.042 0.042 0.227
Hf: 0.243 0.243 0.798
Hf: 0.402 0.402 0.438
Hf: 0.598 0.598 0.562
Hf: 0.757 0.757 0.202
Hf: 0.958 0.958 0.773
Si: 0.205 0.205 0.427
Si: 0.795 0.795 0.573
Sb: 0.394 0.394 0.056
Sb: 0.606 0.606 0.944

Results
- Excess energy over the best structure of this formula in the dataset: 0 meV/atom

***

Record 7
A relaxed structure of HfSi3Sb, computed with GGA-PBE.

Cell: 5.008 5.008 5.008 Å, 90.00 90.00 90.00°
Fractional coordinates of all 5 atoms:
Hf: 0.000 0.000 0.000
Si: 0.000 0.500 0.500
Si: 0.500 0.000 0.500
Si: 0.500 0.500 0.000
Sb: 0.500 0.500 0.500

Results
- Excess energy over the best structure of this formula in the dataset: 591 meV/atom

***

Record 8
A relaxed structure of Hf2SiSb, computed with GGA-PBE.

Cell: 7.701 7.701 7.701 Å, 132.47 132.47 69.49°
Fractional coordinates of all 8 atoms:
Hf: 0.088 0.625 0.963
Hf: 0.375 0.338 0.463
Hf: 0.662 0.125 0.037
Hf: 0.875 0.912 0.537
Si: 0.000 0.000 0.000
Si: 0.750 0.250 0.500
Sb: 0.250 0.750 0.500
Sb: 0.500 0.500 0.000

Results
- Excess energy over the best structure of this formula in the dataset: 842 meV/atom